Computed, not measured: ScAsOs2 after structural relaxation at the PBE-GGA level of DFT.

Cell lengths 3.210, 4.357, 4.357 Å; angles 90.00, 90.00, 90.00 degrees
Fractional coordinates of all 4 atoms:
Os: 0.000 0.000 0.000
Os: 0.000 0.500 0.500
Sc: 0.500 0.500 0.000
As: 0.500 0.000 0.500

The space group is P4/mmm.



Computed, not measured: Sc2AsOs after structural relaxation at the PBE-GGA level of DFT.

Cell lengths 4.268, 3.414, 5.313 Å; angles 71.39, 90.00, 90.00 degrees
Fractional coordinates of all 4 atoms:
Os: 0.500 0.545 0.788
As: 0.000 0.702 0.470
Sc: 0.000 0.982 0.912
Sc: 0.500 0.271 0.330

The space group is Pm.



Computed, not measured: ScAsOs2 after structural relaxation at the PBE-GGA level of DFT.

Cell lengths 4.582, 2.959, 4.799 Å; angles 90.01, 90.00, 90.00 degrees
Fractional coordinates of all 4 atoms:
Os: 0.000 0.592 0.497
Os: 0.000 0.908 0.003
Sc: 0.500 0.250 0.250
As: 0.500 0.750 0.750

The space group is P2/m.



Computed, not measured: Sc2AsOs after structural relaxation at the PBE-GGA level of DFT.

Cell lengths 7.172, 7.172, 5.910 Å; angles 52.65, 52.65, 90.00 degrees
Fractional coordinates of all 8 atoms:
As: 0.500 0.500 0.000
As: 0.250 0.750 0.500
Sc: 0.108 0.625 0.250
Sc: 0.375 0.358 0.750
Sc: 0.642 0.125 0.250
Sc: 0.875 0.892 0.750
Os: 0.750 0.250 0.500
Os: 0.000 0.000 0.000

The space group is I-42d.



Computed, not measured: ScAsOs2 after structural relaxation at the PBE-GGA level of DFT.

Cell lengths 2.945, 2.945, 7.439 Å; angles 90.00, 90.00, 90.00 degrees
Fractional coordinates of all 4 atoms:
Sc: 0.000 0.000 0.493
Os: 0.000 0.000 0.000
Os: 0.500 0.500 0.229
As: 0.500 0.500 0.777

The space group is P4mm.



Computed, not measured: Sc2AsOs after structural relaxation at the PBE-GGA level of DFT.

Cell lengths 9.529, 9.529, 9.529 Å; angles 19.26, 19.26, 19.26 degrees
Fractional coordinates of all 4 atoms:
Sc: 0.903 0.903 0.903
Sc: 0.097 0.097 0.097
As: 0.000 0.000 0.000
Os: 0.500 0.500 0.500

The space group is R-3m.



Computed, not measured: ScAsOs3 after structural relaxation at the PBE-GGA level of DFT.

Cell lengths 4.523, 4.523, 4.523 Å; angles 90.00, 90.00, 90.00 degrees
Fractional coordinates of all 5 atoms:
Os: 0.000 0.500 0.000
Os: 0.000 0.000 0.500
Os: 0.500 0.000 0.000
As: 0.000 0.000 0.000
Sc: 0.500 0.500 0.500

The space group is Pm-3m. The calculation puts the distance to the lowest polymorph of the same formula at 0.000 eV/atom.



Computed, not measured: Sc2AsOs after structural relaxation at the PBE-GGA level of DFT.

Cell lengths 6.026, 6.026, 4.357 Å; angles 68.81, 68.81, 30.85 degrees
Fractional coordinates of all 4 atoms:
Os: 0.239 0.239 0.261
Sc: 0.967 0.967 0.033
Sc: 0.742 0.742 0.758
As: 0.553 0.553 0.447

The space group is Imm2.



Number 1: calculated volume 60.9 Å³/cell, ΔE_f -2.0 kcal/mol of atoms. Number 2: calculated volume 73.4 Å³/cell, ΔE_f -15.9 kcal/mol of atoms. Number 3: calculated volume 65.1 Å³/cell, ΔE_f 0.8 kcal/mol of atoms. Number 4: calculated volume 156.1 Å³/cell, ΔE_f -3.1 kcal/mol of atoms. Number 5: calculated volume 64.5 Å³/cell, ΔE_f -0.9 kcal/mol of atoms. Number 6: calculated volume 82.3 Å³/cell, ΔE_f -0.9 kcal/mol of atoms. Number 7: calculated volume 92.5 Å³/cell, ΔE_f 20.2 kcal/mol of atoms. Number 8: calculated volume 75.2 Å³/cell, ΔE_f -13.0 kcal/mol of atoms.